Material: BaTePF2
Method: DFT, PBE
State: optimized geometry

Computed properties:
Density of states at the Fermi level: 2.0 states/eV/cell
Total magnetization: 0.9 μB per formula unit
Energy: -20.9 eV per cell

Cell: 4.694 4.694 8.069 Å, 90.00 90.00 90.00°
Space group P4/mmm (No. 123)
Asymmetric unit:
Ba  0.000  0.000  0.000
Te  0.500  0.500  0.500
P  0.000  0.000  0.500
F  0.000  0.500  0.000